Computed, not measured: a geometry-optimized Ac2BrO2 structure at the PBE-GGA level of DFT.

Unit cell a=4.0680 b=4.0680 c=7.0926 alpha=90.00 beta=90.00 gamma=90.00
Space group P4/mmm (No. 123)
Unique sites:
Ac  0.0000  0.0000  0.2107 [2 per cell]
Br  0.5000  0.5000  0.5000 [1 per cell]
O  0.0000  0.5000  0.0000 [2 per cell]

For the density, the calculation gives 8.01 g cm⁻³.


Computed, not measured: a geometry-optimized BiRhSe2 structure at the PBE-GGA level of DFT.

Unit cell a=3.9826 b=6.3989 c=8.3179 alpha=97.14 beta=103.80 gamma=108.06
Space group P1 (No. 1)
Unique sites:
Bi  0.0000  0.0000  0.0000 [1 per cell]
Bi  0.0664  0.5210  0.6096 [1 per cell]
Rh  0.7288  0.8360  0.6209 [1 per cell]
Rh  0.8838  0.6217  0.1476 [1 per cell]
Se  0.2244  0.4892  0.9600 [1 per cell]
Se  0.3880  0.0733  0.7035 [1 per cell]
Se  0.5508  0.7846  0.3193 [1 per cell]
Se  0.7387  0.2454  0.2346 [1 per cell]

For the density, the calculation gives 8.16 g cm⁻³.


Computed, not measured: a geometry-optimized LiPm12Pt6 structure at the PBE-GGA level of DFT.

Unit cell a=13.1772 b=13.1772 c=11.5334 alpha=90.00 beta=90.00 gamma=120.00
Space group R-3 (No. 148, hexagonal axes)
Unique sites:
Li  0.0000  0.0000  0.0000 [3 per cell]
Pm  0.0298  0.8143  0.3900 [18 per cell]
Pm  0.0413  0.8262  0.8868 [18 per cell]
Pt  0.0449  0.7831  0.6457 [18 per cell]

For the density, the calculation gives 8.38 g cm⁻³. The value obtained for the formation energy is -0.615 eV per atom.


Computed, not measured: a geometry-optimized Ta2BeAu structure at the PBE-GGA level of DFT.

Unit cell a=2.8126 b=2.8126 c=7.8438 alpha=90.00 beta=90.00 gamma=90.00
Space group P4/mmm (No. 123)
Unique sites:
Ta  0.0000  0.0000  0.2156 [2 per cell]
Be  0.5000  0.5000  0.0000 [1 per cell]
Au  0.5000  0.5000  0.5000 [1 per cell]

For the density, the calculation gives 15.20 g cm⁻³. The value obtained for the formation energy is -0.053 eV per atom.


Computed, not measured: a geometry-optimized Zn2Ag2Au5 structure at the PBE-GGA level of DFT.

Unit cell a=12.4070 b=9.0308 c=5.8953 alpha=90.00 beta=90.00 gamma=90.00
Space group Ima2 (No. 46)
Unique sites:
Zn  0.0000  0.0000  0.0000 [4 per cell]
Zn  0.2500  0.0452  0.2472 [4 per cell]
Ag  0.1321  0.5115  0.1325 [8 per cell]
Au  0.0613  0.7039  0.7809 [8 per cell]
Au  0.1378  0.2209  0.9624 [8 per cell]
Au  0.2500  0.6951  0.5022 [4 per cell]

For the density, the calculation gives 13.39 g cm⁻³. The value obtained for the formation energy is -0.017 eV per atom.


Computed, not measured: a geometry-optimized Nd2Al5Cu5 structure at the PBE-GGA level of DFT.

Unit cell a=4.1576 b=5.3571 c=9.1753 alpha=90.00 beta=90.00 gamma=90.00
Space group Pmmm (No. 47)
Unique sites:
Nd  0.0000  0.0000  0.0000 [1 per cell]
Nd  0.0000  0.5000  0.5000 [1 per cell]
Al  0.5000  0.0000  0.5000 [1 per cell]
Al  0.5000  0.2512  0.2396 [4 per cell]
Cu  0.0000  0.0000  0.3326 [2 per cell]
Cu  0.0000  0.5000  0.1653 [2 per cell]
Cu  0.5000  0.5000  0.0000 [1 per cell]

For the density, the calculation gives 6.02 g cm⁻³. The value obtained for the formation energy is -0.433 eV per atom.


Computed, not measured: a geometry-optimized Ca2YOs structure at the PBE-GGA level of DFT.

Unit cell a=3.4277 b=4.7070 c=15.2059 alpha=90.00 beta=90.00 gamma=90.00
Space group Immm (No. 71)
Unique sites:
Ca  0.0000  0.0000  0.1605 [4 per cell]
Y  0.0000  0.5000  0.0000 [2 per cell]
Os  0.0000  0.5000  0.5000 [2 per cell]

For the density, the calculation gives 4.86 g cm⁻³. The value obtained for the formation energy is 0.145 eV per atom.


Computed, not measured: a geometry-optimized BaCaGd structure at the PBE-GGA level of DFT.

Unit cell a=3.9441 b=3.9441 c=16.9923 alpha=90.00 beta=90.00 gamma=90.00
Space group I4mm (No. 107)
Unique sites:
Ba  0.0000  0.0000  0.0000 [2 per cell]
Ca  0.0000  0.0000  0.3133 [2 per cell]
Gd  0.0000  0.0000  0.6659 [2 per cell]

For the density, the calculation gives 4.20 g cm⁻³. The value obtained for the formation energy is 0.145 eV per atom.


Computed, not measured: a geometry-optimized SmLuIr2 structure at the PBE-GGA level of DFT.

Unit cell a=6.8640 b=6.8640 c=6.8640 alpha=90.00 beta=90.00 gamma=90.00
Space group Fm-3m (No. 225)
Unique sites:
Sm  0.0000  0.0000  0.0000 [4 per cell]
Lu  0.0000  0.0000  0.5000 [4 per cell]
Ir  0.2500  0.2500  0.2500 [8 per cell]

For the density, the calculation gives 14.58 g cm⁻³. The value obtained for the formation energy is -0.769 eV per atom.


Computed, not measured: a geometry-optimized GePO3 structure at the PBE-GGA level of DFT.

Unit cell a=3.7073 b=3.7073 c=3.7073 alpha=90.00 beta=90.00 gamma=90.00
Space group Pm-3m (No. 221)
Unique sites:
Ge  0.0000  0.0000  0.0000 [1 per cell]
P  0.5000  0.5000  0.5000 [1 per cell]
O  0.0000  0.0000  0.5000 [3 per cell]

For the density, the calculation gives 4.94 g cm⁻³.


Computed, not measured: a geometry-optimized Rb3Ru2Cl8 structure at the PBE-GGA level of DFT.

Unit cell a=7.5414 b=7.5414 c=25.1743 alpha=90.00 beta=90.00 gamma=120.00
Space group R-3m (No. 166, hexagonal axes)
Unique sites:
Rb  0.0000  0.0000  0.0000 [3 per cell]
Rb  0.0000  0.0000  0.2251 [6 per cell]
Ru  0.0000  0.0000  0.4526 [6 per cell]
Cl  0.0000  0.0000  0.3510 [6 per cell]
Cl  0.0259  0.5130  0.7796 [18 per cell]

For the density, the calculation gives 2.98 g cm⁻³.


Computed, not measured: a geometry-optimized LiCePuIr structure at the PBE-GGA level of DFT.

Unit cell a=6.9825 b=6.9825 c=6.9825 alpha=90.00 beta=90.00 gamma=90.00
Space group F-43m (No. 216)
Unique sites:
Li  0.0000  0.0000  0.0000 [4 per cell]
Ce  0.2500  0.2500  0.7500 [4 per cell]
Pu  0.2500  0.2500  0.2500 [4 per cell]
Ir  0.0000  0.0000  0.5000 [4 per cell]

For the density, the calculation gives 11.38 g cm⁻³. The value obtained for the formation energy is -0.277 eV per atom.


Computed, not measured: a geometry-optimized Pm4Al3Ir structure at the PBE-GGA level of DFT.

Unit cell a=4.3417 b=4.3422 c=11.0164 alpha=90.00 beta=90.00 gamma=90.00
Space group Pmm2 (No. 25)
Unique sites:
Pm  0.0000  0.0000  0.0000 [1 per cell]
Pm  0.0000  0.5000  0.4687 [1 per cell]
Pm  0.5000  0.0000  0.6920 [1 per cell]
Pm  0.5000  0.5000  0.1984 [1 per cell]
Al  0.0000  0.5000  0.7714 [1 per cell]
Al  0.5000  0.0000  0.4001 [1 per cell]
Al  0.5000  0.5000  0.9098 [1 per cell]
Ir  0.0000  0.0000  0.2735 [1 per cell]

For the density, the calculation gives 6.82 g cm⁻³. The value obtained for the formation energy is -0.468 eV per atom.


Computed, not measured: a geometry-optimized CrSiTeI2 structure at the PBE-GGA level of DFT.

Unit cell a=5.5146 b=5.5146 c=5.4420 alpha=90.00 beta=90.00 gamma=90.00
Space group P4/mmm (No. 123)
Unique sites:
Cr  0.0000  0.0000  0.0000 [1 per cell]
Si  0.5000  0.5000  0.5000 [1 per cell]
Te  0.5000  0.5000  0.0000 [1 per cell]
I  0.0000  0.5000  0.5000 [2 per cell]

For the density, the calculation gives 4.63 g cm⁻³.


Computed, not measured: a geometry-optimized Mg2IrAu structure at the PBE-GGA level of DFT.

Unit cell a=3.4154 b=3.4154 c=5.8738 alpha=90.00 beta=90.00 gamma=90.00
Space group P4mm (No. 99)
Unique sites:
Mg  0.0000  0.0000  0.0000 [1 per cell]
Mg  0.5000  0.5000  0.2984 [1 per cell]
Ir  0.5000  0.5000  0.8083 [1 per cell]
Au  0.0000  0.0000  0.5136 [1 per cell]

For the density, the calculation gives 10.61 g cm⁻³. The value obtained for the formation energy is -0.196 eV per atom.


Computed, not measured: a geometry-optimized Al5ZnGa2 structure at the PBE-GGA level of DFT.

Unit cell a=15.7118 b=6.3415 c=12.4878 alpha=90.00 beta=108.66 gamma=90.00
Space group C2/c (No. 15)
Unique sites:
Al  0.0170  0.1559  0.0830 [8 per cell]
Al  0.0939  0.4913  0.5022 [8 per cell]
Al  0.1462  0.3616  0.8231 [8 per cell]
Al  0.2037  0.2002  0.6444 [8 per cell]
Al  0.2231  0.0241  0.9626 [8 per cell]
Zn  0.1872  0.2255  0.1497 [8 per cell]
Ga  0.0165  0.2406  0.6433 [8 per cell]
Ga  0.1048  0.2257  0.3136 [8 per cell]

For the density, the calculation gives 3.83 g cm⁻³. The value obtained for the formation energy is 0.090 eV per atom.


Computed, not measured: a geometry-optimized Tb2TiAl3 structure at the PBE-GGA level of DFT.

Unit cell a=5.6818 b=5.6818 c=13.5537 alpha=90.00 beta=90.00 gamma=120.00
Space group R-3m (No. 166, hexagonal axes)
Unique sites:
Tb  0.0000  0.0000  0.1278 [6 per cell]
Ti  0.0000  0.0000  0.5000 [3 per cell]
Al  0.0000  0.5000  0.0000 [9 per cell]

For the density, the calculation gives 5.87 g cm⁻³. The value obtained for the formation energy is -0.438 eV per atom.


Computed, not measured: a geometry-optimized SrTaHg4 structure at the PBE-GGA level of DFT.

Unit cell a=8.3797 b=8.3797 c=8.3797 alpha=90.00 beta=90.00 gamma=90.00
Space group F-43m (No. 216)
Unique sites:
Sr  0.0000  0.0000  0.0000 [4 per cell]
Ta  0.2500  0.2500  0.7500 [4 per cell]
Hg  0.1245  0.1245  0.3755 [16 per cell]

For the density, the calculation gives 12.09 g cm⁻³. The value obtained for the formation energy is 0.400 eV per atom.


Computed, not measured: a geometry-optimized PaTaSO4 structure at the PBE-GGA level of DFT.

Unit cell a=10.3741 b=7.4942 c=7.0565 alpha=90.00 beta=111.73 gamma=90.00
Space group C2/m (No. 12)
Unique sites:
Pa  0.2123  0.0000  0.1544 [4 per cell]
Ta  0.1272  0.5000  0.2347 [4 per cell]
S  0.0171  0.0000  0.7798 [4 per cell]
O  0.0696  0.5000  0.8696 [4 per cell]
O  0.1745  0.5000  0.5165 [4 per cell]
O  0.2102  0.2899  0.1852 [8 per cell]

For the density, the calculation gives 6.62 g cm⁻³.


Computed, not measured: a geometry-optimized W2Se4Br3 structure at the PBE-GGA level of DFT.

Unit cell a=15.2567 b=10.7092 c=6.4199 alpha=90.00 beta=97.38 gamma=90.00
Space group C2/c (No. 15)
Unique sites:
W  0.2482  0.1182  0.4716 [8 per cell]
Se  0.1345  0.2667  0.3269 [8 per cell]
Se  0.1767  0.4139  0.8366 [8 per cell]
Br  0.0000  0.4163  0.7500 [4 per cell]
Br  0.1440  0.0648  0.7576 [8 per cell]

For the density, the calculation gives 5.90 g cm⁻³.


Number 1: raw total energy -31.26 eV per cell. Number 2: raw total energy -38.40 eV per cell. Number 3: raw total energy -320.57 eV per cell. Number 4: raw total energy -30.92 eV per cell. Number 5: raw total energy -99.14 eV per cell. Number 6: raw total energy -53.92 eV per cell. Number 7: raw total energy -42.23 eV per cell. Number 8: raw total energy -35.14 eV per cell. Number 9: raw total energy -120.15 eV per cell. Number 10: raw total energy -26.98 eV per cell. Number 11: raw total energy -146.89 eV per cell. Number 12: raw total energy -128.60 eV per cell. Number 13: raw total energy -42.84 eV per cell. Number 14: raw total energy -18.35 eV per cell. Number 15: raw total energy -16.11 eV per cell. Number 16: raw total energy -202.60 eV per cell. Number 17: raw total energy -93.03 eV per cell. Number 18: raw total energy -49.36 eV per cell. Number 19: raw total energy -257.97 eV per cell. Number 20: raw total energy -190.12 eV per cell.